NaHo2PaO6: relaxed, GGA-PBE.

## Properties
* total magnetic moment: 0.0 μB per formula unit
* E_form (uncorrected): -3.30 eV per atom
* DOS(E_F): 0.000 states/eV/atom

a b c (Å): 5.8709 5.8709 15.3282
angles (deg): 90.00 90.00 120.00
Space group R3 (No. 146, hexagonal axes)
Asymmetric unit:
Na  0.0000  0.0000  0.0000
Ho  0.0000  0.0000  0.2721
Ho  0.0000  0.0000  0.7796
Pa  0.0000  0.0000  0.4827
O  0.0005  0.3152  0.8741
O  0.0378  0.7471  0.3853